Entry 1:
Compound: Cs2I
Source: Alexandria
Functional: PBE-GGA
Structure: optimized geometry

CIF file:
```
data_Cs2I
_chemical_formula_sum 'Cs2 I1'
_symmetry_space_group_name_H-M 'P 1'
_symmetry_Int_Tables_number 1
_cell_length_a 5.4404
_cell_length_b 5.4349
_cell_length_c 9.9238
_cell_angle_alpha 74.23
_cell_angle_beta 89.96
_cell_angle_gamma 59.98
loop_
_symmetry_equiv_pos_as_xyz
'x,y,z'
loop_
_atom_site_label
_atom_site_fract_x
_atom_site_fract_y
_atom_site_fract_z
Cs1 0.2535 0.5027 0.7442
Cs2 0.7565 0.4986 0.2446
I1 0.5059 0.0007 0.4944
```

Space-group type: C2 (5)
ρ, g/cm3: 2.70
D(E_F), states/eV per cell: 1.26
Calculated volume, Å³/atom: 80.421
Uncorrected formation energy, meV per atom: -990
Magnetic moment, μB/f.u.: 0.00

***

Entry 2:
Compound: CsI3
Source: Alexandria
Functional: PBE-GGA
Structure: optimized geometry

CIF file:
```
data_CsI3
_chemical_formula_sum 'Cs1 I3'
_symmetry_space_group_name_H-M 'P 1'
_symmetry_Int_Tables_number 1
_cell_length_a 6.1047
_cell_length_b 6.1047
_cell_length_c 8.1340
_cell_angle_alpha 112.04
_cell_angle_beta 112.04
_cell_angle_gamma 90.00
loop_
_symmetry_equiv_pos_as_xyz
'x,y,z'
loop_
_atom_site_label
_atom_site_fract_x
_atom_site_fract_y
_atom_site_fract_z
Cs1 0.0000 0.0000 0.0000
I1 0.5000 0.5000 0.0000
I2 0.7123 0.7123 0.4246
I3 0.2877 0.2877 0.5754
```

Space-group type: I4/mmm (139)
ρ, g/cm3: 3.32
Calculated volume, Å³/atom: 64.230
Uncorrected formation energy, meV per atom: -675
Magnetic moment, μB/f.u.: 0.00

***

Entry 3:
Compound: Cs4InI7
Source: Alexandria
Functional: PBE-GGA
Structure: optimized geometry

CIF file:
```
data_Cs4InI7
_chemical_formula_sum 'Cs4 In1 I7'
_symmetry_space_group_name_H-M 'P 1'
_symmetry_Int_Tables_number 1
_cell_length_a 6.1103
_cell_length_b 11.6582
_cell_length_c 10.9933
_cell_angle_alpha 82.97
_cell_angle_beta 73.86
_cell_angle_gamma 74.81
loop_
_symmetry_equiv_pos_as_xyz
'x,y,z'
loop_
_atom_site_label
_atom_site_fract_x
_atom_site_fract_y
_atom_site_fract_z
Cs1 0.6195 0.2217 0.5392
Cs2 0.3805 0.7783 0.4608
Cs3 0.7309 0.6478 0.8903
Cs4 0.2691 0.3522 0.1097
In1 0.0000 0.0000 0.0000
I1 0.7424 0.8831 0.6320
I2 0.2576 0.1169 0.3680
I3 0.0516 0.7774 0.1194
I4 0.9484 0.2226 0.8806
I5 0.3736 0.4915 0.7613
I6 0.5000 0.0000 0.0000
I7 0.6264 0.5085 0.2387
```

Space-group type: C2/m (12)
ρ, g/cm3: 3.52
D(E_F), states/eV per cell: 8.88
Calculated volume, Å³/atom: 60.410
Uncorrected formation energy, meV per atom: -1058
Magnetic moment, μB/f.u.: 0.00

***

Entry 4:
Compound: Cs2InI3
Source: Alexandria
Functional: PBE-GGA
Structure: optimized geometry

CIF file:
```
data_Cs2InI3
_chemical_formula_sum 'Cs4 In2 I6'
_symmetry_space_group_name_H-M 'P 1'
_symmetry_Int_Tables_number 1
_cell_length_a 9.0350
_cell_length_b 9.0350
_cell_length_c 10.5580
_cell_angle_alpha 64.67
_cell_angle_beta 64.67
_cell_angle_gamma 60.00
loop_
_symmetry_equiv_pos_as_xyz
'x,y,z'
loop_
_atom_site_label
_atom_site_fract_x
_atom_site_fract_y
_atom_site_fract_z
Cs1 0.1716 0.1716 0.4853
Cs2 0.3284 0.3284 0.0147
Cs3 0.8284 0.8284 0.5147
Cs4 0.6716 0.6716 0.9853
In1 0.5000 0.5000 0.5000
In2 0.0000 0.0000 0.0000
I1 0.8884 0.6116 0.2500
I2 0.2500 0.8884 0.2500
I3 0.7500 0.1116 0.7500
I4 0.3884 0.7500 0.7500
I5 0.1116 0.3884 0.7500
I6 0.6116 0.2500 0.2500
```

Space-group type: R-3c (167)
ρ, g/cm3: 3.90
D(E_F), states/eV per cell: 0.00
Calculated volume, Å³/atom: 54.078
Uncorrected formation energy, meV per atom: -1149
Magnetic moment, μB/f.u.: 0.00

***

Entry 5:
Compound: CsIn5I7
Source: Alexandria
Functional: PBE-GGA
Structure: optimized geometry

CIF file:
```
data_CsIn5I7
_chemical_formula_sum 'Cs2 In10 I14'
_symmetry_space_group_name_H-M 'P 1'
_symmetry_Int_Tables_number 1
_cell_length_a 4.9584
_cell_length_b 8.3414
_cell_length_c 29.0825
_cell_angle_alpha 89.96
_cell_angle_beta 90.00
_cell_angle_gamma 107.29
loop_
_symmetry_equiv_pos_as_xyz
'x,y,z'
loop_
_atom_site_label
_atom_site_fract_x
_atom_site_fract_y
_atom_site_fract_z
Cs1 0.8053 0.6107 0.2498
Cs2 0.1950 0.3900 0.7502
In1 0.0005 0.0010 0.9999
In2 0.7206 0.4412 0.9277
In3 0.2800 0.5600 0.0722
In4 0.5452 0.0903 0.3549
In5 0.4553 0.9106 0.6452
In6 0.0005 0.0011 0.5001
In7 0.2807 0.5614 0.4278
In8 0.7199 0.4399 0.5724
In9 0.4562 0.9125 0.8548
In10 0.5442 0.0885 0.1451
I1 0.4942 0.9883 0.2501
I2 0.5062 0.0123 0.7499
I3 0.6367 0.2735 0.0391
I4 0.3639 0.7278 0.9608
I5 0.3636 0.7271 0.5392
I6 0.6371 0.2742 0.4609
I7 0.1795 0.3590 0.1697
I8 0.8211 0.6422 0.8301
I9 0.8204 0.6407 0.6699
I10 0.1803 0.3605 0.3302
I11 0.9080 0.8160 0.1108
I12 0.0925 0.1849 0.8890
I13 0.0917 0.1835 0.6110
I14 0.9087 0.8174 0.3892
```

Space-group type: Cm (8)
ρ, g/cm3: 4.61
D(E_F), states/eV per cell: 10.03
Calculated volume, Å³/atom: 44.173
Uncorrected formation energy, meV per atom: -610
Magnetic moment, μB/f.u.: 0.00

***

Entry 6:
Compound: CsIn2I3
Source: Alexandria
Functional: PBE-GGA
Structure: optimized geometry

CIF file:
```
data_CsIn2I3
_chemical_formula_sum 'Cs2 In4 I6'
_symmetry_space_group_name_H-M 'P 1'
_symmetry_Int_Tables_number 1
_cell_length_a 6.7361
_cell_length_b 9.9225
_cell_length_c 9.9225
_cell_angle_alpha 100.87
_cell_angle_beta 90.00
_cell_angle_gamma 90.00
loop_
_symmetry_equiv_pos_as_xyz
'x,y,z'
loop_
_atom_site_label
_atom_site_fract_x
_atom_site_fract_y
_atom_site_fract_z
Cs1 0.2500 0.3539 0.6461
Cs2 0.7500 0.6461 0.3539
In1 0.0000 0.1357 0.1357
In2 0.5000 0.1357 0.1357
In3 0.0000 0.8643 0.8643
In4 0.5000 0.8643 0.8643
I1 0.7500 0.1759 0.8241
I2 0.7500 0.2307 0.4122
I3 0.2500 0.4122 0.2307
I4 0.7500 0.5878 0.7693
I5 0.2500 0.7693 0.5878
I6 0.2500 0.8241 0.1759
```

Space-group type: Cmcm (63)
ρ, g/cm3: 3.79
Calculated volume, Å³/atom: 54.275
Uncorrected formation energy, meV per atom: -704
Magnetic moment, μB/f.u.: 0.00

***

Entry 7:
Compound: Cs2InI
Source: Alexandria
Functional: PBE-GGA
Structure: optimized geometry

CIF file:
```
data_Cs2InI
_chemical_formula_sum 'Cs2 In1 I1'
_symmetry_space_group_name_H-M 'P 1'
_symmetry_Int_Tables_number 1
_cell_length_a 4.7894
_cell_length_b 4.7894
_cell_length_c 13.1523
_cell_angle_alpha 79.51
_cell_angle_beta 79.51
_cell_angle_gamma 60.00
loop_
_symmetry_equiv_pos_as_xyz
'x,y,z'
loop_
_atom_site_label
_atom_site_fract_x
_atom_site_fract_y
_atom_site_fract_z
Cs1 0.0995 0.0995 0.7016
Cs2 0.9005 0.9005 0.2984
I1 0.5000 0.5000 0.5000
In1 0.0000 0.0000 0.0000
```

Space-group type: R-3m (166)
ρ, g/cm3: 3.30
D(E_F), states/eV per cell: 2.93
Calculated volume, Å³/atom: 63.858
Uncorrected formation energy, meV per atom: -438
Magnetic moment, μB/f.u.: 0.00

***

Entry 8:
Compound: Cs6InI8
Source: Alexandria
Functional: PBE-GGA
Structure: optimized geometry

CIF file:
```
data_Cs6InI8
_chemical_formula_sum 'Cs6 In1 I8'
_symmetry_space_group_name_H-M 'P 1'
_symmetry_Int_Tables_number 1
_cell_length_a 7.9706
_cell_length_b 11.1297
_cell_length_c 11.1297
_cell_angle_alpha 120.00
_cell_angle_beta 90.00
_cell_angle_gamma 90.00
loop_
_symmetry_equiv_pos_as_xyz
'x,y,z'
loop_
_atom_site_label
_atom_site_fract_x
_atom_site_fract_y
_atom_site_fract_z
Cs1 0.7767 0.6199 0.0002
Cs2 0.7767 0.9998 0.6197
Cs3 0.7767 0.3803 0.3801
Cs4 0.2233 0.3801 0.9998
Cs5 0.2233 0.0002 0.3803
Cs6 0.2233 0.6197 0.6199
In1 0.5000 0.0000 0.0000
I1 0.7066 0.0001 0.2538
I2 0.7066 0.7462 0.7463
I3 0.7066 0.2537 0.9999
I4 0.2934 0.9999 0.7462
I5 0.2934 0.2538 0.2537
I6 0.2934 0.7463 0.0001
I7 0.9994 0.3333 0.6667
I8 0.0006 0.6667 0.3333
```

Space-group type: P-31m (162)
ρ, g/cm3: 3.74
D(E_F), states/eV per cell: 6.97
Calculated volume, Å³/atom: 57.003
Uncorrected formation energy, meV per atom: -1283
Magnetic moment, μB/f.u.: 0.00